The following is a DFT calculation (GGA-PBE) of crystalline Hf2BiOF at its relaxed geometry.

a = 4.3050 Å, b = 4.3050 Å, c = 4.7695 Å
α = 90.00°, β = 90.00°, γ = 90.00°
Atoms (fractional coordinates):
Hf 0.0000 0.5000 0.0000
Hf 0.5000 0.0000 0.0000
Bi 0.0000 0.0000 0.5000
O 0.5000 0.5000 0.0000
F 0.5000 0.5000 0.5000

Results
Space group: P4/mmm, No. 123
Calculated volume, Å³/cell: 88.4
Formation energy without anion corrections, eV per atom: -1.25